Record 1
Cd2CoTc: relaxed, GGA-PBEsol.

Results
- DOS at the Fermi energy: 5.5 states/eV per cell
- Formation energy: 0.538 eV/atom
- Energy above the lowest structure with this stoichiometry: 269 meV per atom

Cell lengths 2.6828, 4.1912, 5.5587 Å; angles 90.00, 90.00, 90.00 degrees
With the nearest neighbours (Å) after each atom.
Fractional coordinates of all 4 atoms:
Cd 0.0000 0.0000 0.2442  4 Cd 2.68-2.84, 4 Co 2.83, 4 Tc 2.87
Cd 0.0000 0.0000 0.7558  4 Cd 2.68-2.84, 4 Co 2.83, 4 Tc 2.87
Co 0.5000 0.5000 0.0000  2 Co 2.68, 2 Tc 2.78, 8 Cd 2.83
Tc 0.5000 0.5000 0.5000  2 Tc 2.68, 2 Co 2.78, 8 Cd 2.87

***

Record 2
Ti2MnIr: relaxed, GGA-PBEsol.

Results
- DOS at the Fermi energy: 0.9 states/eV per cell
- Formation energy: -0.690 eV/atom

Cell lengths 4.2538, 4.2538, 4.2538 Å; angles 60.00, 60.00, 60.00 degrees
With the nearest neighbours (Å) after each atom.
Fractional coordinates of all 4 atoms:
Ti 0.2500 0.2500 0.2500  4 Mn 2.60, 4 Ir 2.60
Ti 0.7500 0.7500 0.7500  4 Mn 2.60, 4 Ir 2.60
Mn 0.0000 0.0000 0.0000  8 Ti 2.60
Ir 0.5000 0.5000 0.5000  8 Ti 2.60

***

Record 3
Na8Al6Si6O25: relaxed, GGA-PBEsol.

Results
- E_form (uncorrected): -2.633 eV/atom
- DOS at the Fermi energy: 0.0 states/eV per cell

Cell lengths 8.8696, 8.8696, 8.8696 Å; angles 90.37, 90.37, 90.37 degrees
With the nearest neighbours (Å) after each atom.
Fractional coordinates of all 45 atoms:
Na 0.0000 0.0000 0.0000  4 O 2.34
Na 0.0271 0.0274 0.3404  4 O 2.30-2.50
Na 0.0274 0.3404 0.0271  4 O 2.30-2.50
Na 0.3085 0.3085 0.3085  1 O 2.37
Na 0.3404 0.0271 0.0274  4 O 2.30-2.50
Na 0.4837 0.4856 0.8688  3 O 2.22-2.24
Na 0.4856 0.8688 0.4837  3 O 2.22-2.24
Na 0.8688 0.4837 0.4856  3 O 2.22-2.24
Al 0.1753 0.6817 0.9300  4 O 1.75
Al 0.1794 0.6772 0.4301  4 O 1.75
Al 0.4301 0.1794 0.6772  4 O 1.75
Al 0.6772 0.4301 0.1794  4 O 1.75
Al 0.6817 0.9300 0.1753  4 O 1.75
Al 0.9300 0.1753 0.6817  4 O 1.75
Si 0.1782 0.4280 0.6774  4 O 1.63-1.64
Si 0.1801 0.9301 0.6833  4 O 1.63-1.64
Si 0.4280 0.6774 0.1782  4 O 1.63-1.64
Si 0.6774 0.1782 0.4280  4 O 1.63-1.64
Si 0.6833 0.1801 0.9301  4 O 1.63-1.64
Si 0.9301 0.6833 0.1801  4 O 1.63-1.64
O 0.0311 0.7477 0.3217  1 Si 1.64, 1 Al 1.75
O 0.0337 0.6105 0.0471  1 Si 1.63, 1 Al 1.75
O 0.0404 0.3279 0.7456  1 Si 1.63, 1 Al 1.75
O 0.0471 0.0337 0.6105  1 Si 1.63, 1 Al 1.75
O 0.1114 0.5253 0.5360  1 Si 1.64, 1 Al 1.75
O 0.1130 0.8369 0.8265  1 Si 1.63, 1 Al 1.75
O 0.1533 0.1533 0.1533  5 Na 2.30-2.37
O 0.2424 0.5369 0.8133  1 Si 1.64, 1 Al 1.75
O 0.2463 0.8209 0.5501  1 Si 1.64, 1 Al 1.75
O 0.3191 0.3290 0.6145  1 Si 1.63, 1 Al 1.75
O 0.3217 0.0311 0.7477  1 Si 1.64, 1 Al 1.75
O 0.3279 0.7456 0.0404  1 Si 1.63, 1 Al 1.75
O 0.3290 0.6145 0.3191  1 Si 1.63, 1 Al 1.75
O 0.5253 0.5360 0.1114  1 Si 1.64, 1 Al 1.75
O 0.5360 0.1114 0.5253  1 Si 1.64, 1 Al 1.75
O 0.5369 0.8133 0.2424  1 Si 1.64, 1 Al 1.75
O 0.5501 0.2463 0.8209  1 Si 1.64, 1 Al 1.75
O 0.6105 0.0471 0.0337  1 Si 1.63, 1 Al 1.75
O 0.6145 0.3191 0.3290  1 Si 1.63, 1 Al 1.75
O 0.7456 0.0404 0.3279  1 Si 1.63, 1 Al 1.75
O 0.7477 0.3217 0.0311  1 Si 1.64, 1 Al 1.75
O 0.8133 0.2424 0.5369  1 Si 1.64, 1 Al 1.75
O 0.8209 0.5501 0.2463  1 Si 1.64, 1 Al 1.75
O 0.8265 0.1130 0.8369  1 Si 1.63, 1 Al 1.75
O 0.8369 0.8265 0.1130  1 Si 1.63, 1 Al 1.75

***

Record 4
Al8Cu: relaxed, GGA-PBEsol.

Results
- DOS at the Fermi energy: 2.9 states/eV per cell
- Formation energy: -0.018 eV/atom

Cell lengths 6.2728, 6.2728, 6.2728 Å; angles 95.64, 95.64, 143.48 degrees
With the nearest neighbours (Å) after each atom.
Fractional coordinates of all 9 atoms:
Al 0.0000 0.3287 0.3287  1 Cu 2.77, 11 Al 2.77-2.89
Al 0.0000 0.6713 0.6713  1 Cu 2.77, 11 Al 2.77-2.89
Al 0.3287 0.0000 0.3287  1 Cu 2.77, 11 Al 2.77-2.89
Al 0.3380 0.3380 0.6760  10 Al 2.73-2.87, 2 Cu 2.75
Al 0.3380 0.6620 0.0000  10 Al 2.73-2.87, 2 Cu 2.75
Al 0.6620 0.3380 0.0000  10 Al 2.73-2.87, 2 Cu 2.75
Al 0.6620 0.6620 0.3240  10 Al 2.73-2.87, 2 Cu 2.75
Al 0.6713 0.0000 0.6713  1 Cu 2.77, 11 Al 2.77-2.89
Cu 0.0000 0.0000 0.0000  12 Al 2.75-2.77

***

Record 5
YAg3Sb: relaxed, GGA-PBEsol.

Results
- E_form (uncorrected): 1.063 eV/atom
- DOS at the Fermi energy: 3.0 states/eV per cell

Cell lengths 5.2124, 5.2124, 5.2124 Å; angles 90.00, 90.00, 90.00 degrees
With the nearest neighbours (Å) after each atom.
Fractional coordinates of all 5 atoms:
Y 0.0000 0.0000 0.0000  6 Ag 2.61
Ag 0.0000 0.0000 0.5000  2 Y 2.61
Ag 0.0000 0.5000 0.0000  2 Y 2.61
Ag 0.5000 0.0000 0.0000  2 Y 2.61
Sb 0.5000 0.5000 0.5000  12 Ag 3.69

***

Record 6
Fe11Si5: relaxed, GGA-PBEsol.

Results
- E_form (uncorrected): -0.429 eV/atom
- DOS at the Fermi energy: 15.6 states/eV per cell

Cell lengths 5.4955, 5.4955, 5.4955 Å; angles 90.00, 90.00, 90.00 degrees
With the nearest neighbours (Å) after each atom.
Fractional coordinates of all 16 atoms:
Fe 0.0000 0.0000 0.5000  8 Fe 2.39
Fe 0.0000 0.5000 0.0000  8 Fe 2.39
Fe 0.2523 0.2523 0.2523  5 Si 2.36-2.40, 3 Fe 2.39
Fe 0.2523 0.2523 0.7477  5 Si 2.36-2.40, 3 Fe 2.39
Fe 0.2523 0.7477 0.2523  5 Si 2.36-2.40, 3 Fe 2.39
Fe 0.2523 0.7477 0.7477  5 Si 2.36-2.40, 3 Fe 2.39
Fe 0.5000 0.0000 0.0000  8 Fe 2.39
Fe 0.7477 0.2523 0.2523  5 Si 2.36-2.40, 3 Fe 2.39
Fe 0.7477 0.2523 0.7477  5 Si 2.36-2.40, 3 Fe 2.39
Fe 0.7477 0.7477 0.2523  5 Si 2.36-2.40, 3 Fe 2.39
Fe 0.7477 0.7477 0.7477  5 Si 2.36-2.40, 3 Fe 2.39
Si 0.0000 0.0000 0.0000  8 Fe 2.40
Si 0.0000 0.5000 0.5000  8 Fe 2.37
Si 0.5000 0.0000 0.5000  8 Fe 2.37
Si 0.5000 0.5000 0.0000  8 Fe 2.37
Si 0.5000 0.5000 0.5000  8 Fe 2.36

***

> What is the DOS at the Fermi energy in the fifth record?

3.0 states/eV per cell

***

> Number 2 is which compound?

Ti2MnIr

***

Copy entry 6 word for word.
Fe11Si5: relaxed, GGA-PBEsol.

Results
- E_form (uncorrected): -0.429 eV/atom
- DOS at the Fermi energy: 15.6 states/eV per cell

Cell lengths 5.4955, 5.4955, 5.4955 Å; angles 90.00, 90.00, 90.00 degrees
With the nearest neighbours (Å) after each atom.
Fractional coordinates of all 16 atoms:
Fe 0.0000 0.0000 0.5000  8 Fe 2.39
Fe 0.0000 0.5000 0.0000  8 Fe 2.39
Fe 0.2523 0.2523 0.2523  5 Si 2.36-2.40, 3 Fe 2.39
Fe 0.2523 0.2523 0.7477  5 Si 2.36-2.40, 3 Fe 2.39
Fe 0.2523 0.7477 0.2523  5 Si 2.36-2.40, 3 Fe 2.39
Fe 0.2523 0.7477 0.7477  5 Si 2.36-2.40, 3 Fe 2.39
Fe 0.5000 0.0000 0.0000  8 Fe 2.39
Fe 0.7477 0.2523 0.2523  5 Si 2.36-2.40, 3 Fe 2.39
Fe 0.7477 0.2523 0.7477  5 Si 2.36-2.40, 3 Fe 2.39
Fe 0.7477 0.7477 0.2523  5 Si 2.36-2.40, 3 Fe 2.39
Fe 0.7477 0.7477 0.7477  5 Si 2.36-2.40, 3 Fe 2.39
Si 0.0000 0.0000 0.0000  8 Fe 2.40
Si 0.0000 0.5000 0.5000  8 Fe 2.37
Si 0.5000 0.0000 0.5000  8 Fe 2.37
Si 0.5000 0.5000 0.0000  8 Fe 2.37
Si 0.5000 0.5000 0.5000  8 Fe 2.36

***

Copy entry 4 word for word.
Al8Cu: relaxed, GGA-PBEsol.

Results
- DOS at the Fermi energy: 2.9 states/eV per cell
- Formation energy: -0.018 eV/atom

Cell lengths 6.2728, 6.2728, 6.2728 Å; angles 95.64, 95.64, 143.48 degrees
With the nearest neighbours (Å) after each atom.
Fractional coordinates of all 9 atoms:
Al 0.0000 0.3287 0.3287  1 Cu 2.77, 11 Al 2.77-2.89
Al 0.0000 0.6713 0.6713  1 Cu 2.77, 11 Al 2.77-2.89
Al 0.3287 0.0000 0.3287  1 Cu 2.77, 11 Al 2.77-2.89
Al 0.3380 0.3380 0.6760  10 Al 2.73-2.87, 2 Cu 2.75
Al 0.3380 0.6620 0.0000  10 Al 2.73-2.87, 2 Cu 2.75
Al 0.6620 0.3380 0.0000  10 Al 2.73-2.87, 2 Cu 2.75
Al 0.6620 0.6620 0.3240  10 Al 2.73-2.87, 2 Cu 2.75
Al 0.6713 0.0000 0.6713  1 Cu 2.77, 11 Al 2.77-2.89
Cu 0.0000 0.0000 0.0000  12 Al 2.75-2.77